Entry 1:
A plane-wave DFT calculation with PBE was carried out for crystalline MnV2Si2 at its relaxed geometry.

Cell lengths 6.213, 6.213, 3.354 Å; angles 90.00, 90.00, 90.00 degrees
Fractional positions:
1 Mn 0.000 0.000 0.000
2 Mn 0.500 0.500 0.000
3 V 0.169 0.331 0.500
4 V 0.331 0.831 0.500
5 V 0.669 0.169 0.500
6 V 0.831 0.669 0.500
7 Si 0.134 0.634 0.000
8 Si 0.366 0.134 0.000
9 Si 0.634 0.866 0.000
10 Si 0.866 0.366 0.000

Computed properties:
SG: P4/mbm (127)

***

Entry 2:
A plane-wave DFT calculation with PBE was carried out for crystalline Mn4V3Si at its relaxed geometry.

Cell lengths 2.884, 4.011, 8.056 Å; angles 90.00, 90.00, 90.00 degrees
Fractional positions:
1 Mn 0.000 0.000 0.000
2 Mn 0.000 0.000 0.500
3 Mn 0.000 0.500 0.250
4 Mn 0.000 0.500 0.750
5 V 0.500 0.000 0.243
6 V 0.500 0.000 0.757
7 V 0.500 0.500 0.500
8 Si 0.500 0.500 0.000

Computed properties:
SG: Pmmm (47)

***

Entry 3:
A plane-wave DFT calculation with PBE was carried out for crystalline Mn2V8Si at its relaxed geometry.

Cell lengths 6.929, 6.929, 4.685 Å; angles 96.24, 96.24, 40.56 degrees
Fractional positions:
1 Mn 0.241 0.241 0.366
2 Mn 0.759 0.759 0.634
3 V 0.086 0.086 0.110
4 V 0.157 0.655 0.382
5 V 0.284 0.284 0.881
6 V 0.345 0.843 0.618
7 V 0.655 0.157 0.382
8 V 0.716 0.716 0.119
9 V 0.843 0.345 0.618
10 V 0.914 0.914 0.890
11 Si 0.500 0.500 0.000

Computed properties:
SG: C2/m (12)

***

Entry 4:
A plane-wave DFT calculation with PBE was carried out for crystalline Mn2VSi6 at its relaxed geometry.

Cell lengths 4.398, 4.398, 6.389 Å; angles 90.00, 90.00, 119.24 degrees
Fractional positions:
1 Mn 0.000 0.500 0.166
2 Mn 0.500 0.000 0.834
3 V 0.000 0.000 0.500
4 Si 0.167 0.334 0.835
5 Si 0.333 0.667 0.500
6 Si 0.334 0.167 0.165
7 Si 0.666 0.833 0.165
8 Si 0.667 0.333 0.500
9 Si 0.833 0.666 0.835

Computed properties:
SG: C222 (21)

***

Entry 5:
A plane-wave DFT calculation with PBE was carried out for crystalline MnV2Si2 at its relaxed geometry.

Cell lengths 6.322, 6.322, 6.322 Å; angles 126.18, 72.15, 135.74 degrees
Fractional positions:
1 Mn 0.250 0.250 0.000
2 Mn 0.750 0.750 0.000
3 V 0.085 0.664 0.748
4 V 0.415 0.164 0.579
5 V 0.585 0.836 0.421
6 V 0.915 0.336 0.252
7 Si 0.164 0.222 0.386
8 Si 0.336 0.722 0.058
9 Si 0.664 0.278 0.942
10 Si 0.836 0.778 0.614

Computed properties:
SG: Ibam (72)

***

Entry 6:
A plane-wave DFT calculation with PBE was carried out for crystalline MnVSi at its relaxed geometry.

Cell lengths 3.990, 3.990, 2.633 Å; angles 90.00, 90.00, 120.00 degrees
Fractional positions:
1 Mn 0.000 0.000 0.000
2 V 0.667 0.333 0.696
3 Si 0.333 0.667 0.226

Computed properties:
SG: P3m1 (156)

***

Entry 7:
A plane-wave DFT calculation with PBE was carried out for crystalline MnVSi at its relaxed geometry.

Cell lengths 2.923, 4.606, 5.989 Å; angles 110.22, 90.02, 108.41 degrees
Fractional positions:
1 Mn 0.172 0.345 0.089
2 Mn 0.828 0.655 0.911
3 V 0.167 0.334 0.588
4 V 0.833 0.666 0.412
5 Si 0.499 0.998 0.772
6 Si 0.501 0.002 0.228

Computed properties:
SG: P-1 (2)

***

Entry 8:
A plane-wave DFT calculation with PBE was carried out for crystalline Mn2VSi4 at its relaxed geometry.

Cell lengths 4.497, 4.497, 11.936 Å; angles 90.00, 90.00, 90.00 degrees
Fractional positions:
1 Mn 0.000 0.000 0.106
2 Mn 0.000 0.000 0.894
3 Mn 0.500 0.500 0.394
4 Mn 0.500 0.500 0.606
5 V 0.000 0.000 0.500
6 V 0.500 0.500 0.000
7 Si 0.000 0.000 0.305
8 Si 0.000 0.000 0.695
9 Si 0.000 0.500 0.000
10 Si 0.000 0.500 0.500
11 Si 0.500 0.000 0.000
12 Si 0.500 0.000 0.500
13 Si 0.500 0.500 0.195
14 Si 0.500 0.500 0.805

Computed properties:
SG: I4/mmm (139)

***

Entry 9:
A plane-wave DFT calculation with PBE was carried out for crystalline MnV12Si6 at its relaxed geometry.

Cell lengths 6.283, 6.283, 6.283 Å; angles 89.45, 89.45, 89.45 degrees
Fractional positions:
1 Mn 0.000 0.000 0.000
2 V 0.055 0.135 0.381
3 V 0.135 0.381 0.055
4 V 0.189 0.486 0.574
5 V 0.381 0.055 0.135
6 V 0.426 0.811 0.514
7 V 0.486 0.574 0.189
8 V 0.514 0.426 0.811
9 V 0.574 0.189 0.486
10 V 0.619 0.945 0.865
11 V 0.811 0.514 0.426
12 V 0.865 0.619 0.945
13 V 0.945 0.865 0.619
14 Si 0.121 0.741 0.265
15 Si 0.259 0.735 0.879
16 Si 0.265 0.121 0.741
17 Si 0.735 0.879 0.259
18 Si 0.741 0.265 0.121
19 Si 0.879 0.259 0.735

Computed properties:
SG: R-3 (148)

***

Entry 10:
A plane-wave DFT calculation with PBE was carried out for crystalline Mn3V2Si at its relaxed geometry.

Cell lengths 3.990, 12.037, 2.893 Å; angles 90.00, 90.00, 90.00 degrees
Fractional positions:
1 Mn 0.000 0.000 0.000
2 Mn 0.000 0.333 0.000
3 Mn 0.000 0.667 0.000
4 Mn 0.500 0.167 0.000
5 Mn 0.500 0.500 0.000
6 Mn 0.500 0.833 0.000
7 V 0.000 0.163 0.500
8 V 0.000 0.837 0.500
9 V 0.500 0.337 0.500
10 V 0.500 0.663 0.500
11 Si 0.000 0.500 0.500
12 Si 0.500 0.000 0.500

Computed properties:
SG: Cmmm (65)

***

Entry 11:
A plane-wave DFT calculation with PBE was carried out for crystalline Mn2VSi at its relaxed geometry.

Cell lengths 3.963, 3.963, 2.904 Å; angles 90.00, 90.00, 90.00 degrees
Fractional positions:
1 Mn 0.000 0.500 0.000
2 Mn 0.500 0.000 0.000
3 V 0.000 0.000 0.500
4 Si 0.500 0.500 0.500

Computed properties:
SG: P4/mmm (123)

***

Entry 12:
A plane-wave DFT calculation with PBE was carried out for crystalline MnV5Si5 at its relaxed geometry.

Cell lengths 5.922, 5.922, 6.401 Å; angles 105.77, 105.77, 45.39 degrees
Fractional positions:
1 Mn 0.000 0.000 0.000
2 V 0.000 0.000 0.500
3 V 0.347 0.347 0.626
4 V 0.397 0.397 0.283
5 V 0.603 0.603 0.717
6 V 0.653 0.653 0.374
7 Si 0.177 0.177 0.284
8 Si 0.198 0.198 0.905
9 Si 0.500 0.500 0.000
10 Si 0.802 0.802 0.095
11 Si 0.823 0.823 0.716

Computed properties:
SG: C2/m (12)

***

Entry 13:
A plane-wave DFT calculation with PBE was carried out for crystalline Mn2VSi at its relaxed geometry.

Cell lengths 6.470, 6.470, 5.119 Å; angles 90.00, 90.00, 90.00 degrees
Fractional positions:
1 Mn 0.249 0.750 0.125
2 Mn 0.250 0.249 0.875
3 Mn 0.250 0.251 0.375
4 Mn 0.251 0.750 0.625
5 Mn 0.749 0.250 0.625
6 Mn 0.750 0.749 0.375
7 Mn 0.750 0.751 0.875
8 Mn 0.751 0.250 0.125
9 V 0.000 0.000 0.000
10 V 0.000 0.500 0.250
11 V 0.500 0.000 0.750
12 V 0.500 0.500 0.500
13 Si 0.000 0.000 0.500
14 Si 0.000 0.500 0.750
15 Si 0.500 0.000 0.250
16 Si 0.500 0.500 0.000

Computed properties:
SG: I-42d (122)

***

Entry 14:
A plane-wave DFT calculation with PBE was carried out for crystalline Mn2V5Si at its relaxed geometry.

Cell lengths 7.393, 7.393, 7.393 Å; angles 133.33, 133.33, 68.13 degrees
Fractional positions:
1 Mn 0.140 0.640 0.780
2 Mn 0.360 0.140 0.500
3 Mn 0.640 0.860 0.500
4 Mn 0.860 0.360 0.220
5 V 0.000 0.000 0.000
6 V 0.011 0.176 0.500
7 V 0.176 0.676 0.165
8 V 0.324 0.489 0.500
9 V 0.489 0.989 0.165
10 V 0.500 0.500 0.000
11 V 0.511 0.011 0.835
12 V 0.676 0.511 0.500
13 V 0.824 0.324 0.835
14 V 0.989 0.824 0.500
15 Si 0.250 0.250 0.000
16 Si 0.750 0.750 0.000

Computed properties:
SG: I4/mcm (140)

***

Entry 15:
A plane-wave DFT calculation with PBE was carried out for crystalline Mn2VSi2 at its relaxed geometry.

Cell lengths 6.721, 6.721, 2.700 Å; angles 90.00, 90.00, 90.00 degrees
Fractional positions:
1 Mn 0.152 0.348 0.000
2 Mn 0.348 0.848 0.000
3 Mn 0.652 0.152 0.000
4 Mn 0.848 0.652 0.000
5 V 0.000 0.000 0.500
6 V 0.500 0.500 0.500
7 Si 0.142 0.642 0.500
8 Si 0.358 0.142 0.500
9 Si 0.642 0.858 0.500
10 Si 0.858 0.358 0.500

Computed properties:
SG: P4/mbm (127)

***

Entry 16:
A plane-wave DFT calculation with PBE was carried out for crystalline Mn4VSi at its relaxed geometry.

Cell lengths 4.617, 4.617, 4.617 Å; angles 60.00, 60.00, 60.00 degrees
Fractional positions:
1 Mn 0.376 0.376 0.376
2 Mn 0.376 0.376 0.871
3 Mn 0.376 0.871 0.376
4 Mn 0.871 0.376 0.376
5 V 0.000 0.000 0.000
6 Si 0.750 0.750 0.750

Computed properties:
SG: F-43m (216)

***

Entry 17:
A plane-wave DFT calculation with PBE was carried out for crystalline Mn4V2Si at its relaxed geometry.

Cell lengths 4.170, 4.170, 12.090 Å; angles 90.00, 90.00, 90.00 degrees
Fractional positions:
1 Mn 0.000 0.000 0.193
2 Mn 0.000 0.000 0.807
3 Mn 0.000 0.500 0.000
4 Mn 0.000 0.500 0.500
5 Mn 0.500 0.000 0.000
6 Mn 0.500 0.000 0.500
7 Mn 0.500 0.500 0.307
8 Mn 0.500 0.500 0.693
9 V 0.000 0.000 0.376
10 V 0.000 0.000 0.624
11 V 0.500 0.500 0.124
12 V 0.500 0.500 0.876
13 Si 0.000 0.000 0.000
14 Si 0.500 0.500 0.500

Computed properties:
SG: I4/mmm (139)

***

Entry 18:
A plane-wave DFT calculation with PBE was carried out for crystalline MnV2Si4 at its relaxed geometry.

Cell lengths 4.352, 4.352, 11.871 Å; angles 90.00, 90.00, 90.00 degrees
Fractional positions:
1 Mn 0.000 0.000 0.000
2 Mn 0.500 0.500 0.500
3 V 0.000 0.000 0.400
4 V 0.000 0.000 0.600
5 V 0.500 0.500 0.100
6 V 0.500 0.500 0.900
7 Si 0.000 0.000 0.193
8 Si 0.000 0.000 0.807
9 Si 0.000 0.500 0.000
10 Si 0.000 0.500 0.500
11 Si 0.500 0.000 0.000
12 Si 0.500 0.000 0.500
13 Si 0.500 0.500 0.307
14 Si 0.500 0.500 0.693

Computed properties:
SG: I4/mmm (139)

***

Entry 19:
A plane-wave DFT calculation with PBE was carried out for crystalline Mn4VSi at its relaxed geometry.

Cell lengths 2.547, 3.913, 6.848 Å; angles 90.00, 91.53, 90.00 degrees
Fractional positions:
1 Mn 0.167 0.000 0.165
2 Mn 0.203 0.500 0.669
3 Mn 0.797 0.500 0.331
4 Mn 0.833 0.000 0.835
5 V 0.500 0.000 0.500
6 Si 0.500 0.500 0.000

Computed properties:
SG: P2/m (10)

***

Calculated total energy in eV/cell, matching the order above: -80.9; -72.3; -96.9; -63.3; -77.3; -24.7; -49.5; -92.2; -157.6; -107.0; -34.6; -81.6; -126.5; -139.6; -79.7; -51.5; -111.5; -93.1; -51.9
Formation energy from raw total energies in eV/atom, matching the order above: -0.436; -0.359; -0.020; -0.363; -0.077; -0.338; -0.353; 0.435; -0.343; -0.388; -0.436; 0.028; 0.314; -0.057; -0.312; -0.045; 0.659; 0.361; -0.116
Magnetic moment in μB per cell, matching the order above: 4.83; 0.83; 0.00; 1.01; 0.00; 0.62; 0.00; 12.73; 0.00; 1.79; 0.91; 0.34; 13.20; 0.00; 6.90; 0.00; 8.32; 0.00; 0.39